A geometry-optimized PuTl2Br4 structure, computed with PBE-GGA.

The calculation puts the energy above the most stable polymorph in this dataset at 4.7 kJ per mole of atoms. As for the calculated density: 5.75 g/cm3. The formation energy without anion corrections comes out at -7.25 eV/f.u.

The space group is I4/mmm (No. 139) and the conventional cell measures 5.818, 5.818 and 16.586 Å, with angles of 90.00, 90.00 and 90.00 degrees. The distinct sites, in fractional coordinates, are Pu at (0.000, 0.000, 0.000), Tl at (0.000, 0.000, 0.363), Br at (0.000, 0.000, 0.177) and Br at (0.000, 0.500, 0.000).